# 1
NaCdGaBr4: relaxed, PBE.

Its raw formation energy is -0.923 eV/atom. For the electronic total energy, the calculation gives -2.63 eV per atom.

It has space group P2_1/m (No. 11), with a = 7.5073 Å, b = 7.8216 Å, c = 8.3997 Å, α = 90.00°, β = 105.58° and γ = 90.00°. The inequivalent atoms are Na at (0.2066, 0.2500, 0.0564), Cd at (0.2676, 0.7500, 0.8133), Ga at (0.2190, 0.2500, 0.5779), Br at (0.0220, 0.0029, 0.7671), Br at (0.4838, 0.7500, 0.1194) and Br at (0.4962, 0.7500, 0.6303).

=====

# 2
Cd2GaBrO: relaxed, PBE.

Its raw formation energy is -0.256 eV/atom. For the electronic total energy, the calculation gives -2.55 eV per atom.

It has space group P4/mmm (No. 123), with a = 4.4335 Å, b = 4.4335 Å, c = 7.5845 Å, α = 90.00°, β = 90.00° and γ = 90.00°. The inequivalent atoms are Cd at (0.0000, 0.5000, 0.0000), Ga at (0.0000, 0.0000, 0.5000), Br at (0.5000, 0.5000, 0.5000) and O at (0.5000, 0.5000, 0.0000).

=====

# 3
CdGa2BrO: relaxed, PBE.

Its raw formation energy is 0.747 eV/atom. For the electronic total energy, the calculation gives -1.97 eV per atom.

It has space group P4/mmm (No. 123), with a = 5.7123 Å, b = 5.7123 Å, c = 5.5426 Å, α = 90.00°, β = 90.00° and γ = 90.00°. The inequivalent atoms are Cd at (0.0000, 0.0000, 0.0000), Ga at (0.0000, 0.5000, 0.5000), Br at (0.0000, 0.0000, 0.5000) and O at (0.5000, 0.5000, 0.0000).

=====

# 4
CdGaP2Br: relaxed, PBE.

Its raw formation energy is 1.088 eV/atom. For the electronic total energy, the calculation gives -2.20 eV per atom.

It has space group P4/mmm (No. 123), with a = 5.0106 Å, b = 5.0106 Å, c = 5.4111 Å, α = 90.00°, β = 90.00° and γ = 90.00°. The inequivalent atoms are Cd at (0.0000, 0.0000, 0.0000), Ga at (0.5000, 0.5000, 0.0000), P at (0.0000, 0.5000, 0.5000) and Br at (0.0000, 0.0000, 0.5000).

=====

# 5
Cd2GaPtBr: relaxed, PBE.

Its raw formation energy is -0.337 eV/atom. For the electronic total energy, the calculation gives -2.85 eV per atom.

It has space group P4/mmm (No. 123), with a = 5.3261 Å, b = 5.3261 Å, c = 4.8259 Å, α = 90.00°, β = 90.00° and γ = 90.00°. The inequivalent atoms are Cd at (0.0000, 0.5000, 0.0000), Ga at (0.0000, 0.0000, 0.5000), Pt at (0.0000, 0.0000, 0.0000) and Br at (0.5000, 0.5000, 0.5000).

=====

# 6
Rb2CdGaBr6: relaxed, PBE.

Its raw formation energy is -1.137 eV/atom. For the electronic total energy, the calculation gives -2.73 eV per atom.

It has space group I4/mmm (No. 139), with a = 7.7867 Å, b = 7.7867 Å, c = 11.0513 Å, α = 90.00°, β = 90.00° and γ = 90.00°. The inequivalent atoms are Rb at (0.0000, 0.5000, 0.2500), Cd at (0.0000, 0.0000, 0.0000), Ga at (0.0000, 0.0000, 0.5000), Br at (0.0000, 0.0000, 0.2545) and Br at (0.2456, 0.2456, 0.5000).

=====

# 7
RbCdGa2Br8: relaxed, PBE.

Its raw formation energy is -0.913 eV/atom. For the electronic total energy, the calculation gives -2.69 eV per atom.

It has space group R-3 (No. 148, hexagonal axes), with a = 7.0416 Å, b = 7.0416 Å, c = 30.6306 Å, α = 90.00°, β = 90.00° and γ = 120.00°. The inequivalent atoms are Rb at (0.0000, 0.0000, 0.0000), Cd at (0.0000, 0.0000, 0.5000), Ga at (0.0000, 0.0000, 0.2528), Br at (0.0000, 0.0000, 0.3298) and Br at (0.0014, 0.3596, 0.4388).

=====

# 8
RbCdGaBr4: relaxed, PBE.

Its raw formation energy is -1.018 eV/atom. For the electronic total energy, the calculation gives -2.68 eV per atom.

It has space group P2_1/m (No. 11), with a = 8.1293 Å, b = 7.7659 Å, c = 9.2183 Å, α = 90.00°, β = 107.66° and γ = 90.00°. The inequivalent atoms are Rb at (0.2437, 0.2500, 0.0273), Cd at (0.2685, 0.7500, 0.3196), Ga at (0.2087, 0.2500, 0.5139), Br at (0.0422, 0.0088, 0.2718), Br at (0.3979, 0.7500, 0.0942) and Br at (0.4871, 0.7500, 0.5946).